Below is a relaxed structure of Li2Mg4TlCd2, with properties calculated at the PBE-GGA level.

## Properties
Total moment in μB per formula unit: 0.0
VASP energy in eV for the cell shown: -15.00
Crystal system: triclinic
Energy of formation in eV per atom: -0.066

The structure in CIF format:
```
data_Li2Mg4TlCd2
_chemical_formula_sum 'Li2 Mg4 Tl1 Cd2'
_cell_length_a 5.341
_cell_length_b 5.701
_cell_length_c 7.140
_cell_angle_alpha 72.22
_cell_angle_beta 73.53
_cell_angle_gamma 84.73
_symmetry_space_group_name_H-M 'P -1'
_symmetry_Int_Tables_number 2
_symmetry_space_group_name_Hall '-P 1'
loop_
_atom_site_label
_atom_site_type_symbol
_atom_site_fract_x
_atom_site_fract_y
_atom_site_fract_z
Li1 Li 0.143 0.305 0.071
Mg1 Mg 0.328 0.760 0.176
Mg2 Mg 0.430 0.814 0.722
Tl1 Tl 0.000 0.000 0.500
Cd1 Cd 0.218 0.408 0.632
```

=====

Below is a relaxed structure of Sc2ReSnMo, with properties calculated at the PBE-GGA level.

## Properties
Total moment in μB per formula unit: 2.7
VASP energy in eV for the cell shown: -31.95
Crystal system: tetragonal
Energy of formation in eV per atom: 1.599

The structure in CIF format:
```
data_Sc2ReSnMo
_chemical_formula_sum 'Sc2 Re1 Sn1 Mo1'
_cell_length_a 5.177
_cell_length_b 5.177
_cell_length_c 4.901
_cell_angle_alpha 90.00
_cell_angle_beta 90.00
_cell_angle_gamma 90.00
_symmetry_space_group_name_H-M 'P 4/m m m'
_symmetry_Int_Tables_number 123
_symmetry_space_group_name_Hall '-P 4 2'
loop_
_atom_site_label
_atom_site_type_symbol
_atom_site_fract_x
_atom_site_fract_y
_atom_site_fract_z
Sc1 Sc 0.000 0.500 0.000
Re1 Re 0.000 0.000 0.500
Sn1 Sn 0.000 0.000 0.000
Mo1 Mo 0.500 0.500 0.500
```

=====

Below is a relaxed structure of NiTeHRh2, with properties calculated at the PBE-GGA level.

## Properties
Total moment in μB per formula unit: 0.5
VASP energy in eV for the cell shown: -27.03
Crystal system: tetragonal

The structure in CIF format:
```
data_NiTeHRh2
_chemical_formula_sum 'Ni1 Te1 H1 Rh2'
_cell_length_a 4.030
_cell_length_b 4.030
_cell_length_c 3.885
_cell_angle_alpha 90.00
_cell_angle_beta 90.00
_cell_angle_gamma 90.00
_symmetry_space_group_name_H-M 'P 4/m m m'
_symmetry_Int_Tables_number 123
_symmetry_space_group_name_Hall '-P 4 2'
loop_
_atom_site_label
_atom_site_type_symbol
_atom_site_fract_x
_atom_site_fract_y
_atom_site_fract_z
Ni1 Ni 0.000 0.000 0.000
Te1 Te 0.500 0.500 0.000
H1 H 0.000 0.000 0.500
Rh1 Rh 0.000 0.500 0.500
```